Entry 1:
LaTaMn2Cd after structural relaxation. Source: the Alexandria database, functional PBE.

Structure (CIF):
```
data_LaTaMn2Cd
_cell_length_a 4.748
_cell_length_b 4.748
_cell_length_c 5.446
_cell_angle_alpha 90.00
_cell_angle_beta 90.00
_cell_angle_gamma 90.00
_space_group_name_H-M_alt 'P 1'
_space_group_IT_number 1
_space_group_name_Hall 'P 1'
loop_
_atom_site_label
_atom_site_fract_x
_atom_site_fract_y
_atom_site_fract_z
La1 0.000 0.000 0.000
Ta1 0.500 0.500 0.000
Mn1 0.000 0.500 0.500
Mn2 0.500 0.000 0.500
Cd1 0.000 0.000 0.500
```

Properties
formation enthalpy at 0 K	2.173	eV/atom
Fermi-level density of states	2.118	states/eV per atom
symmetry	P4/mmm, No. 123

Entry 2:
LaMn2CdTe after structural relaxation. Source: the Alexandria database, functional PBE.

Structure (CIF):
```
data_LaMn2CdTe
_cell_length_a 4.952
_cell_length_b 4.952
_cell_length_c 5.564
_cell_angle_alpha 90.00
_cell_angle_beta 90.00
_cell_angle_gamma 90.00
_space_group_name_H-M_alt 'P 1'
_space_group_IT_number 1
_space_group_name_Hall 'P 1'
loop_
_atom_site_label
_atom_site_fract_x
_atom_site_fract_y
_atom_site_fract_z
La1 0.000 0.000 0.000
Mn1 0.000 0.500 0.500
Mn2 0.500 0.000 0.500
Cd1 0.500 0.500 0.000
Te1 0.500 0.500 0.500
```

Properties
Fermi-level density of states	1.031	states/eV per atom
symmetry	P4/mmm, No. 123
E_form (uncorrected)	0.5561	eV per atom

Entry 3:
LaCd2Mo after structural relaxation. Source: the Alexandria database, functional PBE.

Structure (CIF):
```
data_LaCd2Mo
_cell_length_a 2.986
_cell_length_b 2.986
_cell_length_c 9.758
_cell_angle_alpha 90.00
_cell_angle_beta 90.00
_cell_angle_gamma 90.00
_space_group_name_H-M_alt 'P 1'
_space_group_IT_number 1
_space_group_name_Hall 'P 1'
loop_
_atom_site_label
_atom_site_fract_x
_atom_site_fract_y
_atom_site_fract_z
La1 0.000 0.000 0.000
Cd1 0.500 0.500 0.281
Cd2 0.500 0.500 0.719
Mo1 0.000 0.000 0.500
```

Properties
formation enthalpy at 0 K	0.266	eV/atom
excess energy over the best structure of this formula in the dataset	25	meV/atom
Fermi-level density of states	0.822	states/eV per atom
symmetry	P4/mmm, No. 123

Entry 4:
LaCdMo2 after structural relaxation. Source: the Alexandria database, functional PBE.

Structure (CIF):
```
data_LaCdMo2
_cell_length_a 5.580
_cell_length_b 5.580
_cell_length_c 5.580
_cell_angle_alpha 143.77
_cell_angle_beta 126.55
_cell_angle_gamma 66.29
_space_group_name_H-M_alt 'P 1'
_space_group_IT_number 1
_space_group_name_Hall 'P 1'
loop_
_atom_site_label
_atom_site_fract_x
_atom_site_fract_y
_atom_site_fract_z
La1 0.000 0.000 0.000
Cd1 0.500 0.500 0.000
Mo1 0.243 0.743 0.500
Mo2 0.757 0.257 0.500
```

Properties
formation enthalpy at 0 K	0.723	eV/atom
Fermi-level density of states	1.067	states/eV per atom
symmetry	Immm, No. 71

Entry 5:
LaCdMo2 after structural relaxation. Source: the Alexandria database, functional PBE.

Structure (CIF):
```
data_LaCdMo2
_cell_length_a 2.823
_cell_length_b 2.823
_cell_length_c 10.052
_cell_angle_alpha 90.00
_cell_angle_beta 90.00
_cell_angle_gamma 90.00
_space_group_name_H-M_alt 'P 1'
_space_group_IT_number 1
_space_group_name_Hall 'P 1'
loop_
_atom_site_label
_atom_site_fract_x
_atom_site_fract_y
_atom_site_fract_z
La1 0.000 0.000 0.000
Cd1 0.000 0.000 0.500
Mo1 0.500 0.500 0.273
Mo2 0.500 0.500 0.727
```

Properties
formation enthalpy at 0 K	0.637	eV/atom
Fermi-level density of states	0.634	states/eV per atom
symmetry	P4/mmm, No. 123

Entry 6:
LaCd2Mo after structural relaxation. Source: the Alexandria database, functional PBE.

Structure (CIF):
```
data_LaCd2Mo
_cell_length_a 5.651
_cell_length_b 5.651
_cell_length_c 5.651
_cell_angle_alpha 134.14
_cell_angle_beta 134.14
_cell_angle_gamma 66.87
_space_group_name_H-M_alt 'P 1'
_space_group_IT_number 1
_space_group_name_Hall 'P 1'
loop_
_atom_site_label
_atom_site_fract_x
_atom_site_fract_y
_atom_site_fract_z
La1 0.000 0.000 0.000
Cd1 0.250 0.750 0.500
Cd2 0.750 0.250 0.500
Mo1 0.500 0.500 0.000
```

Properties
formation enthalpy at 0 K	0.269	eV/atom
excess energy over the best structure of this formula in the dataset	28	meV/atom
Fermi-level density of states	0.896	states/eV per atom
symmetry	I4/mmm, No. 139

Entry 7:
La2CdMo after structural relaxation. Source: the Alexandria database, functional PBE.

Structure (CIF):
```
data_La2CdMo
_cell_length_a 5.190
_cell_length_b 5.190
_cell_length_c 5.190
_cell_angle_alpha 60.00
_cell_angle_beta 60.00
_cell_angle_gamma 60.00
_space_group_name_H-M_alt 'P 1'
_space_group_IT_number 1
_space_group_name_Hall 'P 1'
loop_
_atom_site_label
_atom_site_fract_x
_atom_site_fract_y
_atom_site_fract_z
La1 0.000 0.000 0.000
La2 0.250 0.250 0.250
Cd1 0.500 0.500 0.500
Mo1 0.750 0.750 0.750
```

Properties
formation enthalpy at 0 K	0.364	eV/atom
Fermi-level density of states	1.602	states/eV per atom
symmetry	F-43m, No. 216

Entry 8:
LaCd2Mo after structural relaxation. Source: the Alexandria database, functional PBE.

Structure (CIF):
```
data_LaCd2Mo
_cell_length_a 3.078
_cell_length_b 3.839
_cell_length_c 7.941
_cell_angle_alpha 90.00
_cell_angle_beta 90.00
_cell_angle_gamma 90.00
_space_group_name_H-M_alt 'P 1'
_space_group_IT_number 1
_space_group_name_Hall 'P 1'
loop_
_atom_site_label
_atom_site_fract_x
_atom_site_fract_y
_atom_site_fract_z
La1 0.000 0.000 0.000
Cd1 0.000 0.000 0.448
Cd2 0.500 0.500 0.676
Mo1 0.500 0.500 0.253
```

Properties
formation enthalpy at 0 K	0.325	eV/atom
excess energy over the best structure of this formula in the dataset	84	meV/atom
Fermi-level density of states	0.793	states/eV per atom
symmetry	Pmm2, No. 25

no.,total magnetization (μB per atom)
1,0.349
2,1.141
3,0.000
4,0.000
5,0.000
6,0.312
7,0.376
8,0.000